Record 1
A relaxed structure of Ho2Sc2CBr4Cl. Source: OQMD, functional GGA-PBE.

E above lowest polymorph: 47.9 meV/atom
Calculated total energy: -53.819 eV for the cell shown
Spin magnetization: 0.00 Bohr magnetons per cell

Cell: 8.885 8.885 7.654 Å, 102.62 102.62 23.85°
Sites, in units of the cell vectors:
Sc 0.000 0.000 0.198
Br 0.167 0.167 0.812
Br 0.833 0.833 0.188
Ho 0.362 0.362 0.928
Br 0.840 0.840 0.647
Br 0.160 0.160 0.353
C 0.500 0.500 0.000
Cl 0.500 0.500 0.500
Sc 0.000 0.000 0.802
Ho 0.638 0.638 0.072

---

Record 2
A relaxed structure of Ho2Sc2CBrCl4. Source: OQMD, functional GGA-PBE.

Calculated total energy: -56.512 eV for the cell shown
Spin magnetization: 0.01 Bohr magnetons per cell

Cell: 8.472 8.472 8.059 Å, 102.97 102.97 24.81°
Sites, in units of the cell vectors:
Cl 0.166 0.166 0.306
Ho 0.001 0.001 0.799
Cl 0.172 0.172 0.862
Ho 0.999 0.999 0.201
Cl 0.828 0.828 0.138
Br 0.500 0.500 0.500
Cl 0.834 0.834 0.694
C 0.500 0.500 0.000
Sc 0.639 0.639 0.072
Sc 0.361 0.361 0.928

---

Record 3
A relaxed structure of Ho2Sc2CBr3Cl2. Source: OQMD, functional GGA-PBE.

E above lowest polymorph: 0.0 meV/atom
Calculated total energy: -55.027 eV for the cell shown
Spin magnetization: 0.01 Bohr magnetons per cell

Cell: 8.812 8.812 8.031 Å, 102.83 102.83 24.07°
Sites, in units of the cell vectors:
Br 0.829 0.829 0.155
Sc 0.366 0.366 0.929
C 0.500 0.500 0.000
Sc 0.634 0.634 0.071
Cl 0.838 0.838 0.695
Br 0.171 0.171 0.845
Ho 0.000 0.000 0.202
Cl 0.162 0.162 0.305
Ho 0.000 0.000 0.798
Br 0.500 0.500 0.500

---

Record 4
A relaxed structure of Ho2Sc2CBr4Cl. Source: OQMD, functional GGA-PBE.

E above lowest polymorph: 0.0 meV/atom
Calculated total energy: -54.298 eV for the cell shown
Spin magnetization: 0.16 Bohr magnetons per cell

Cell: 9.087 9.087 7.800 Å, 102.07 102.07 23.33°
Sites, in units of the cell vectors:
Ho 0.999 0.999 0.209
Br 0.833 0.833 0.162
C 0.500 0.500 0.000
Sc 0.629 0.629 0.066
Br 0.163 0.163 0.328
Br 0.167 0.167 0.838
Ho 0.001 0.001 0.791
Sc 0.371 0.371 0.934
Cl 0.500 0.500 0.500
Br 0.837 0.837 0.672

---

Record 5
A relaxed structure of Sm2Ho2CBr2Cl3. Source: OQMD, functional GGA-PBE.

E above lowest polymorph: 0.0 meV/atom
Calculated total energy: -52.585 eV for the cell shown
Spin magnetization: 0.01 Bohr magnetons per cell

Cell: 9.037 9.037 7.971 Å, 102.54 102.54 24.30°
Sites, in units of the cell vectors:
Cl 0.500 0.500 0.500
Ho 0.638 0.638 0.074
Sm 0.000 0.000 0.213
Ho 0.362 0.362 0.926
Cl 0.837 0.837 0.679
Sm 0.000 0.000 0.787
Br 0.826 0.826 0.169
C 0.500 0.500 0.000
Cl 0.163 0.163 0.321
Br 0.174 0.174 0.831

---

Record 6
A relaxed structure of Sm2Ho2CBr2Cl3. Source: OQMD, functional GGA-PBE.

E above lowest polymorph: 8.7 meV/atom
Calculated total energy: -52.498 eV for the cell shown
Spin magnetization: 0.20 Bohr magnetons per cell

Cell: 8.889 8.889 7.882 Å, 103.04 103.04 24.42°
Sites, in units of the cell vectors:
Ho 0.998 0.998 0.207
Br 0.164 0.164 0.365
Br 0.836 0.836 0.635
Sm 0.646 0.646 0.079
Cl 0.167 0.167 0.826
C 0.500 0.500 0.000
Cl 0.500 0.500 0.500
Sm 0.354 0.354 0.921
Cl 0.833 0.833 0.174
Ho 0.002 0.002 0.793

---

Record 7
A relaxed structure of Sm2Ho2CBrCl4. Source: OQMD, functional GGA-PBE.

E above lowest polymorph: 2.6 meV/atom
Calculated total energy: -53.313 eV for the cell shown
Spin magnetization: 0.34 Bohr magnetons per cell

Cell: 8.813 8.813 8.057 Å, 104.46 104.46 24.67°
Sites, in units of the cell vectors:
Cl 0.167 0.167 0.337
Sm 0.648 0.648 0.585
Ho 0.999 0.999 0.701
Cl 0.839 0.839 0.157
Sm 0.352 0.352 0.415
C 0.500 0.500 0.500
Cl 0.161 0.161 0.843
Br 0.500 0.500 0.000
Ho 0.001 0.001 0.299
Cl 0.833 0.833 0.663

---

Record 8
A relaxed structure of Sm2Ho2CBrCl4. Source: OQMD, functional GGA-PBE.

E above lowest polymorph: 0.0 meV/atom
Calculated total energy: -53.339 eV for the cell shown
Spin magnetization: 0.02 Bohr magnetons per cell

Cell: 8.783 8.783 8.297 Å, 103.69 103.69 25.04°
Sites, in units of the cell vectors:
Sm 0.999 0.999 0.205
Cl 0.832 0.832 0.685
Cl 0.827 0.827 0.138
Sm 0.001 0.001 0.795
Cl 0.173 0.173 0.862
C 0.500 0.500 0.000
Ho 0.643 0.643 0.078
Ho 0.357 0.357 0.922
Br 0.500 0.500 0.500
Cl 0.168 0.168 0.315

---

Record 9
A relaxed structure of Sm2Ho2CBr2Cl3. Source: OQMD, functional GGA-PBE.

E above lowest polymorph: 2.3 meV/atom
Calculated total energy: -52.562 eV for the cell shown
Spin magnetization: 0.02 Bohr magnetons per cell

Cell: 8.860 8.860 8.035 Å, 102.09 102.09 24.88°
Sites, in units of the cell vectors:
Br 0.170 0.170 0.341
Sm 0.997 0.997 0.211
Cl 0.826 0.826 0.146
Cl 0.174 0.174 0.854
Ho 0.359 0.359 0.926
Ho 0.641 0.641 0.074
Br 0.830 0.830 0.659
Cl 0.500 0.500 0.500
Sm 0.003 0.003 0.789
C 0.500 0.500 0.000

---

Record 10
A relaxed structure of Sm2Ho2CBr4Cl. Source: OQMD, functional GGA-PBE.

E above lowest polymorph: 7.5 meV/atom
Calculated total energy: -51.077 eV for the cell shown
Spin magnetization: 0.14 Bohr magnetons per cell

Cell: 9.142 9.142 7.962 Å, 103.65 103.65 23.86°
Sites, in units of the cell vectors:
C 0.500 0.500 0.000
Br 0.833 0.833 0.184
Ho 0.000 0.000 0.207
Br 0.838 0.838 0.637
Cl 0.500 0.500 0.500
Sm 0.642 0.642 0.079
Ho 0.000 0.000 0.793
Br 0.162 0.162 0.363
Sm 0.358 0.358 0.921
Br 0.167 0.167 0.816

---

Record 11
A relaxed structure of Sm2Ho2CBr4Cl. Source: OQMD, functional GGA-PBE.

E above lowest polymorph: 0.0 meV/atom
Calculated total energy: -51.152 eV for the cell shown
Spin magnetization: 0.03 Bohr magnetons per cell

Cell: 9.196 9.196 8.044 Å, 102.50 102.50 24.07°
Sites, in units of the cell vectors:
C 0.500 0.500 0.000
Sm 0.999 0.999 0.212
Br 0.172 0.172 0.835
Br 0.828 0.828 0.165
Sm 0.001 0.001 0.788
Cl 0.500 0.500 0.500
Ho 0.636 0.636 0.073
Br 0.834 0.834 0.659
Ho 0.364 0.364 0.927
Br 0.166 0.166 0.341

---

Record 12
A relaxed structure of Sm2Ho2CBr2Cl3. Source: OQMD, functional GGA-PBE.

E above lowest polymorph: 1.2 meV/atom
Calculated total energy: -52.574 eV for the cell shown
Spin magnetization: 0.23 Bohr magnetons per cell

Cell: 9.071 9.071 7.846 Å, 103.46 103.46 23.87°
Sites, in units of the cell vectors:
Ho 0.000 0.000 0.209
Ho 0.000 0.000 0.791
Cl 0.845 0.845 0.650
Br 0.168 0.168 0.811
Sm 0.357 0.357 0.916
Cl 0.155 0.155 0.350
C 0.500 0.500 0.000
Cl 0.500 0.500 0.500
Sm 0.643 0.643 0.084
Br 0.832 0.832 0.189

---

Q: The lowest calculated total energy belongs to which entry?
A: Ho2Sc2CBrCl4

---

What did the fourth record say?
A relaxed structure of Ho2Sc2CBr4Cl. Source: OQMD, functional GGA-PBE.

E above lowest polymorph: 0.0 meV/atom
Calculated total energy: -54.298 eV for the cell shown
Spin magnetization: 0.16 Bohr magnetons per cell

Cell: 9.087 9.087 7.800 Å, 102.07 102.07 23.33°
Sites, in units of the cell vectors:
Ho 0.999 0.999 0.209
Br 0.833 0.833 0.162
C 0.500 0.500 0.000
Sc 0.629 0.629 0.066
Br 0.163 0.163 0.328
Br 0.167 0.167 0.838
Ho 0.001 0.001 0.791
Sc 0.371 0.371 0.934
Cl 0.500 0.500 0.500
Br 0.837 0.837 0.672